Material: K2UHgS5
Method: DFT, PBE-GGA
State: relaxed

Crystal system: orthorhombic
Total moment (μB per atom): 0.045
Formation energy from raw total energies (eV per atom): -0.964

a b c (Å): 4.0583 9.7199 13.6053
angles (deg): 90.00 90.00 102.05
With the nearest neighbours (Å) after each atom.
Atoms (fractional coordinates):
S (0.2777, 0.5554, 0.6426)  2 U 2.62
K (0.1246, 0.2491, 0.3140)  5 S 3.15-3.36
U (0.7830, 0.5659, 0.5210)  6 S 2.43-2.64
S (0.7092, 0.4185, 0.8974)  2 U 2.64
K (0.1014, 0.2028, 0.6757)  5 S 3.14-3.38
K (0.8754, 0.7509, 0.8140)  5 S 3.15-3.36
Hg (0.4439, 0.8877, 0.4359)  3 S 2.37-2.63
Hg (0.5561, 0.1123, 0.9359)  3 S 2.37-2.63
S (0.4998, 0.9996, 0.7801)  1 Hg 2.37
S (0.9175, 0.8350, 0.5528)  1 U 2.59, 2 Hg 2.63
S (0.2908, 0.5815, 0.3974)  2 U 2.64
S (0.0825, 0.1650, 0.0528)  1 U 2.59, 2 Hg 2.63
S (0.7223, 0.4446, 0.1426)  2 U 2.62
K (0.8986, 0.7972, 0.1757)  5 S 3.14-3.38
U (0.2170, 0.4341, 0.0210)  6 S 2.43-2.64
S (0.3443, 0.6886, 0.0045)  1 U 2.43
S (0.5002, 0.0004, 0.2801)  1 Hg 2.37
S (0.6557, 0.3114, 0.5045)  1 U 2.43